MgZnB4 | PBE-GGA | relaxed

## Properties
Electronic total energy   -29.1 eV for the cell shown

Geometry as POSCAR:
```
MgZnB4
1.0
-0.402 -4.554 0.592
-3.521 0.081 2.974
1.014 0.992 -4.386
B Mg Zn
4 1 1
Cartesian
-0.755 -2.266 -0.381 B
-2.362 -0.003 0.853 B
-0.547 -3.478 -1.672 B
-2.153 -1.215 -0.438 B
-1.961 -2.236 1.783 Mg
0.000 0.000 0.000 Zn
```



ThNiAg | PBE-GGA | relaxed

## Properties
Total moment   0.0 μB per cell
Electronic total energy   -16.2 eV for the cell shown

Geometry as POSCAR:
```
ThNiAg
1.0
0.122 -3.717 2.671
-0.278 0.439 4.549
-3.775 -1.360 2.205
Ag Ni Th
1 1 1
Cartesian
-2.949 -3.478 7.068 Ag
0.000 0.000 0.000 Ni
-0.983 -1.159 2.356 Th
```



PrGdGa2F2 | PBE-GGA | relaxed

## Properties
Total moment   0.0 μB per cell
Electronic total energy   -30.8 eV for the cell shown

Geometry as POSCAR:
```
PrGdGa2F2
1.0
-3.622 1.381 0.884
0.552 -3.892 -0.597
1.706 -1.091 8.691
F Ga Gd Pr
2 2 1 1
Cartesian
-0.621 -2.274 1.010 F
-0.764 -1.314 7.864 F
-1.438 -0.883 4.429 Ga
0.093 -2.730 4.647 Ga
1.272 -0.814 6.483 Gd
0.435 -0.278 2.216 Pr
```



MgCdAu | PBE-GGA | relaxed

## Properties
Electronic total energy   -6.7 eV for the cell shown

Geometry as POSCAR:
```
MgCdAu
1.0
-0.770 -1.338 4.325
-3.518 1.772 2.360
-3.651 -2.606 0.982
Au Cd Mg
1 1 1
Cartesian
0.000 0.000 0.000 Au
-1.985 -0.543 1.917 Cd
-5.954 -1.629 5.750 Mg
```